Cs2BeCrCl6 after structural relaxation. Source: Alexandria, functional GGA-PBE.

**Formation energy without anion corrections**: -1.37 eV per atom
**DFT total energy**: -39.84 eV/f.u.
**Theoretical density**: 3.3 Mg/m³
**Fermi-level density of states**: 1.23 states/eV/cell
**Magnetic moment**: 4.00 μB per cell

Lattice parameters (Å, degrees): 7.4383 7.4383 7.4383 124.62 124.62 82.17
Sites, in units of the cell vectors:
Cs (0.2500, 0.7500, 0.5000)
Cs (0.7500, 0.2500, 0.5000)
Be (0.0000, 0.0000, 0.0000)
Cr (0.5000, 0.5000, 0.0000)
Cl (0.2234, 0.2234, 0.4468)
Cl (0.2234, 0.7766, 0.0000)
Cl (0.2909, 0.2909, 0.0000)
Cl (0.7091, 0.7091, 0.0000)
Cl (0.7766, 0.2234, 0.0000)
Cl (0.7766, 0.7766, 0.5532)